The following is a DFT calculation (PBE) of a relaxed structure of Ba3Zn2Pt2.

Cell: 4.687 4.472 10.501 Å, 102.30 102.90 90.00°
Positions (direct):
Zn  0.433  0.433  0.866
Zn  0.567  0.567  0.134
Pt  0.635  0.135  0.270
Pt  0.365  0.865  0.730
Ba  0.000  0.000  0.000
Ba  0.186  0.686  0.373
Ba  0.814  0.314  0.627

Summary:
SG: No. 71
Volume: 29.91 Å³/atom
Electronic total energy: -3.48 eV/atom
D(E_F): 0.572 states/eV/atom
E_form: -55 kJ per mole of atoms
Total magnetic moment: 0.0 μB/f.u.

---

The following is a DFT calculation (PBE) of a relaxed structure of BaZnPt2.

Cell: 4.981 4.981 4.981 Å, 60.00 60.00 60.00°
Positions (direct):
Pt  0.250  0.250  0.250
Pt  0.000  0.000  0.000
Ba  0.500  0.500  0.500
Zn  0.750  0.750  0.750

Summary:
SG: No. 216
Volume: 21.84 Å³/atom
Electronic total energy: -3.84 eV/atom
D(E_F): 0.691 states/eV/atom
E_form: -2 kJ per mole of atoms
Total magnetic moment: 0.0 μB/f.u.

---

The following is a DFT calculation (PBE) of a relaxed structure of BaZnPt2.

Cell: 4.805 4.805 3.818 Å, 89.98 89.98 79.58°
Positions (direct):
Pt  0.000  0.000  0.000
Pt  0.500  0.500  0.000
Zn  0.500  0.000  0.500
Ba  0.000  0.500  0.500

Summary:
SG: No. 65
Volume: 21.67 Å³/atom
Electronic total energy: -3.95 eV/atom
D(E_F): 0.300 states/eV/atom
E_form: -12 kJ per mole of atoms
Total magnetic moment: 0.0 μB/f.u.

---

The following is a DFT calculation (PBE) of a relaxed structure of Ba12Zn3Pt5.

Cell: 16.871 16.871 16.871 Å, 109.47 109.47 109.47°
Positions (direct):
Zn  0.250  0.125  0.375
Zn  0.375  0.625  0.250
Zn  0.125  0.875  0.750
Zn  0.125  0.250  0.875
Zn  0.875  0.125  0.250
Zn  0.375  0.750  0.625
Zn  0.625  0.375  0.750
Zn  0.750  0.375  0.125
Zn  0.875  0.750  0.125
Zn  0.750  0.875  0.625
Zn  0.250  0.625  0.875
Zn  0.625  0.250  0.375
Ba  0.121  0.709  0.532
Ba  0.088  0.911  0.379
Ba  0.791  0.468  0.379
Ba  0.588  0.879  0.411
Ba  0.968  0.379  0.291
Ba  0.912  0.089  0.621
Ba  0.879  0.588  0.911
Ba  0.032  0.621  0.709
Ba  0.589  0.968  0.677
Ba  0.468  0.677  0.089
Ba  0.291  0.879  0.968
Ba  0.323  0.791  0.412
Ba  0.791  0.323  0.912
Ba  0.468  0.791  0.879
Ba  0.968  0.589  0.177
Ba  0.621  0.589  0.912
Ba  0.177  0.089  0.968
Ba  0.911  0.823  0.532
Ba  0.532  0.323  0.911
Ba  0.823  0.912  0.291
Ba  0.412  0.291  0.323
Ba  0.089  0.912  0.121
Ba  0.879  0.291  0.468
Ba  0.411  0.032  0.323
Ba  0.032  0.411  0.823
Ba  0.323  0.532  0.411
Ba  0.121  0.412  0.089
Ba  0.911  0.088  0.879
Ba  0.709  0.121  0.032
Ba  0.379  0.968  0.791
Ba  0.709  0.588  0.177
Ba  0.177  0.088  0.709
Ba  0.209  0.677  0.088
Ba  0.532  0.209  0.121
Ba  0.621  0.032  0.209
Ba  0.209  0.532  0.621
Ba  0.677  0.468  0.589
Ba  0.677  0.209  0.588
Ba  0.291  0.412  0.823
Ba  0.823  0.911  0.032
Ba  0.379  0.411  0.088
Ba  0.412  0.121  0.589
Ba  0.588  0.709  0.677
Ba  0.089  0.177  0.468
Ba  0.589  0.621  0.412
Ba  0.088  0.177  0.209
Ba  0.912  0.823  0.791
Ba  0.411  0.379  0.588
Pt  0.500  0.000  0.000
Pt  0.875  0.250  0.625
Pt  0.875  0.625  0.750
Pt  0.125  0.375  0.250
Pt  0.250  0.875  0.125
Pt  0.625  0.875  0.250
Pt  0.000  0.500  0.000
Pt  0.500  0.000  0.500
Pt  0.375  0.250  0.125
Pt  0.375  0.125  0.750
Pt  0.250  0.375  0.625
Pt  0.125  0.750  0.375
Pt  0.000  0.000  0.000
Pt  0.000  0.000  0.500
Pt  0.000  0.500  0.500
Pt  0.750  0.125  0.875
Pt  0.500  0.500  0.000
Pt  0.750  0.625  0.375
Pt  0.500  0.500  0.500
Pt  0.625  0.750  0.875

Summary:
SG: No. 230
Volume: 46.21 Å³/atom
Electronic total energy: -3.17 eV/atom
D(E_F): 0.740 states/eV/atom
E_form: -31 kJ per mole of atoms
Total magnetic moment: 0.0 μB/f.u.

---

The following is a DFT calculation (PBE) of a relaxed structure of BaZn2Pt.

Cell: 3.446 3.453 7.336 Å, 90.00 90.00 90.00°
Positions (direct):
Zn  0.000  0.000  0.577
Zn  0.000  0.000  0.923
Pt  0.500  0.500  0.750
Ba  0.500  0.500  0.250

Summary:
SG: No. 123
Volume: 21.82 Å³/atom
Electronic total energy: -2.88 eV/atom
D(E_F): 0.390 states/eV/atom
E_form: -24 kJ per mole of atoms
Total magnetic moment: 0.0 μB/f.u.

---

The following is a DFT calculation (PBE) of a relaxed structure of BaZn2Pt.

Cell: 4.503 4.503 6.241 Å, 68.88 68.88 59.97°
Positions (direct):
Ba  0.506  0.506  0.484
Zn  0.986  0.986  0.041
Zn  0.693  0.693  0.921
Pt  0.315  0.315  0.054

Summary:
SG: No. 8
Volume: 24.91 Å³/atom
Electronic total energy: -3.17 eV/atom
D(E_F): 0.493 states/eV/atom
E_form: -52 kJ per mole of atoms
Total magnetic moment: 0.0 μB/f.u.

---

The following is a DFT calculation (PBE) of a relaxed structure of Ba3Zn7Pt4.

Cell: 4.512 8.749 8.746 Å, 76.70 75.05 75.06°
Positions (direct):
Zn  0.301  0.906  0.491
Zn  0.699  0.094  0.509
Zn  0.000  0.000  0.000
Zn  0.495  0.766  0.245
Zn  0.505  0.234  0.755
Zn  0.887  0.340  0.886
Zn  0.113  0.660  0.114
Ba  0.000  0.500  0.500
Ba  0.702  0.785  0.811
Ba  0.298  0.215  0.189
Pt  0.683  0.507  0.126
Pt  0.317  0.493  0.874
Pt  0.900  0.896  0.304
Pt  0.100  0.104  0.696

Summary:
SG: No. 12
Volume: 22.66 Å³/atom
Electronic total energy: -3.29 eV/atom
D(E_F): 0.409 states/eV/atom
E_form: -50 kJ per mole of atoms
Total magnetic moment: 0.0 μB/f.u.

---

The following is a DFT calculation (PBE) of a relaxed structure of Ba6ZnPt.

Cell: 7.994 7.994 15.336 Å, 90.00 90.00 120.00°
Positions (direct):
Ba  0.682  0.677  0.120
Ba  0.995  0.677  0.380
Ba  0.682  0.005  0.380
Ba  0.318  0.323  0.880
Ba  0.677  0.682  0.620
Ba  0.677  0.995  0.880
Ba  0.323  0.318  0.380
Ba  0.995  0.318  0.120
Ba  0.005  0.323  0.620
Ba  0.323  0.005  0.120
Ba  0.318  0.995  0.620
Ba  0.005  0.682  0.880
Zn  0.667  0.333  0.750
Zn  0.333  0.667  0.250
Pt  0.000  0.000  0.500
Pt  0.000  0.000  0.000

Summary:
SG: No. 163
Volume: 53.04 Å³/atom
Electronic total energy: -2.63 eV/atom
D(E_F): 0.786 states/eV/atom
E_form: -26 kJ per mole of atoms
Total magnetic moment: 0.0 μB/f.u.

---

The following is a DFT calculation (PBE) of a relaxed structure of Ba2Zn2Pt.

Cell: 4.433 6.493 11.555 Å, 81.57 78.94 70.04°
Positions (direct):
Pt  0.429  0.827  0.316
Pt  0.571  0.173  0.684
Ba  0.297  0.771  0.634
Ba  0.703  0.229  0.366
Ba  0.910  0.293  0.887
Ba  0.090  0.707  0.113
Zn  0.374  0.119  0.133
Zn  0.964  0.663  0.409
Zn  0.626  0.881  0.867
Zn  0.036  0.337  0.591

Summary:
SG: No. 12
Volume: 30.57 Å³/atom
Electronic total energy: -2.96 eV/atom
D(E_F): 0.537 states/eV/atom
Relative energy among the computed polymorphs: 0.00 eV per formula unit
E_form: -45 kJ per mole of atoms
Total magnetic moment: 0.0 μB/f.u.

---

The following is a DFT calculation (PBE) of a relaxed structure of BaZn9Pt2.

Cell: 7.080 8.453 8.453 Å, 79.90 65.24 65.24°
Positions (direct):
Zn  0.603  0.332  0.085
Zn  0.020  0.668  0.915
Zn  0.686  0.585  0.168
Zn  0.730  0.585  0.832
Zn  0.603  0.085  0.332
Zn  0.750  0.500  0.500
Zn  0.020  0.915  0.668
Zn  0.686  0.168  0.585
Zn  0.147  0.168  0.415
Zn  0.438  0.832  0.415
Zn  0.147  0.415  0.168
Zn  0.064  0.915  0.332
Zn  0.312  0.085  0.668
Zn  0.438  0.415  0.832
Zn  0.312  0.668  0.085
Zn  0.730  0.832  0.585
Zn  0.000  0.000  0.000
Zn  0.064  0.332  0.915
Pt  0.375  0.750  0.750
Pt  0.875  0.750  0.250
Pt  0.875  0.250  0.750
Pt  0.875  0.250  0.250
Ba  0.500  0.000  0.000
Ba  0.250  0.500  0.500

Summary:
SG: No. 141
Volume: 17.38 Å³/atom
Electronic total energy: -2.50 eV/atom
D(E_F): 0.457 states/eV/atom
E_form: -37 kJ per mole of atoms
Total magnetic moment: 0.0 μB/f.u.

---

The following is a DFT calculation (PBE) of a relaxed structure of BaZn2Pt.

Cell: 5.338 5.338 5.338 Å, 127.53 110.97 91.89°
Positions (direct):
Ba  0.503  0.503  0.000
Zn  0.182  0.682  0.500
Zn  0.971  0.971  0.000
Pt  0.844  0.344  0.500

Summary:
SG: No. 44
Volume: 26.49 Å³/atom
Electronic total energy: -2.92 eV/atom
D(E_F): 0.421 states/eV/atom
E_form: -29 kJ per mole of atoms
Total magnetic moment: 0.0 μB/f.u.

---

The following is a DFT calculation (PBE) of a relaxed structure of BaZn2Pt.

Cell: 4.695 4.922 4.563 Å, 89.94 90.00 90.00°
Positions (direct):
Ba  0.500  0.250  0.250
Zn  0.000  0.996  0.750
Zn  0.000  0.504  0.750
Pt  0.500  0.750  0.750

Summary:
SG: No. 47
Volume: 26.36 Å³/atom
Electronic total energy: -3.03 eV/atom
D(E_F): 0.439 states/eV/atom
E_form: -39 kJ per mole of atoms
Total magnetic moment: 0.0 μB/f.u.